VASP calculation (PBE) on an optimized crystal structure of Y3ZnSb.

Cell lengths 5.344, 5.344, 5.344 Å; angles 90.00, 90.00, 90.00 degrees
Sites, in units of the cell vectors:
Y 0.000 0.500 0.000
Y 0.000 0.000 0.500
Y 0.500 0.000 0.000
Sb 0.500 0.500 0.500
Zn 0.000 0.000 0.000

Polymorph energy (0 for the lowest one) ... 0.0 meV/atom
Space-group type ... Pm-3m (221)
Formation energy (no corrections) ... -1.0 eV per formula unit

VASP calculation (PBE) on an optimized crystal structure of YZnSb2.

Cell lengths 7.717, 7.717, 6.506 Å; angles 53.63, 53.63, 90.00 degrees
Sites, in units of the cell vectors:
Y 0.000 0.000 0.000
Y 0.750 0.250 0.500
Sb 0.581 0.125 0.250
Sb 0.169 0.625 0.250
Sb 0.375 0.419 0.750
Sb 0.875 0.831 0.750
Zn 0.500 0.500 0.000
Zn 0.250 0.750 0.500

Space-group type ... I-42d (122)
Formation energy (no corrections) ... -1.5 eV per formula unit

VASP calculation (PBE) on an optimized crystal structure of Y2ZnSb.

Cell lengths 3.669, 3.669, 7.913 Å; angles 90.00, 90.00, 95.74 degrees
Sites, in units of the cell vectors:
Sb 0.500 0.500 0.710
Y 0.000 0.000 0.969
Y 0.500 0.500 0.297
Zn 0.000 0.000 0.524

Polymorph energy (0 for the lowest one) ... 439.0 meV/atom
Space-group type ... Cmm2 (35)
Formation energy (no corrections) ... -1.2 eV per formula unit

VASP calculation (PBE) on an optimized crystal structure of Y6Zn2Sb.

Cell lengths 8.618, 8.618, 8.618 Å; angles 108.35, 111.03, 109.05 degrees
Sites, in units of the cell vectors:
Y 0.549 0.729 0.820
Y 0.451 0.271 0.180
Y 0.091 0.271 0.820
Y 0.909 0.729 0.180
Y 0.791 0.757 0.548
Y 0.209 0.243 0.452
Y 0.209 0.757 0.965
Y 0.791 0.243 0.035
Y 0.713 0.391 0.678
Y 0.287 0.609 0.322
Y 0.287 0.965 0.678
Y 0.713 0.035 0.322
Zn 0.500 0.374 0.874
Zn 0.500 0.626 0.126
Zn 0.633 0.000 0.633
Zn 0.367 0.000 0.367
Sb 0.000 0.500 0.500
Sb 0.000 0.000 0.000

Space-group type ... Immm (71)
Formation energy (no corrections) ... -3.3 eV per formula unit

VASP calculation (PBE) on an optimized crystal structure of Y2ZnSb.

Cell lengths 6.028, 6.028, 4.175 Å; angles 89.98, 89.98, 42.57 degrees
Sites, in units of the cell vectors:
Y 0.013 0.013 0.125
Y 0.728 0.728 0.625
Sb 0.295 0.295 0.125
Zn 0.465 0.465 0.625

Polymorph energy (0 for the lowest one) ... 0.0 meV/atom
Space-group type ... Amm2 (38)
Formation energy (no corrections) ... -3.0 eV per formula unit

VASP calculation (PBE) on an optimized crystal structure of YZnSb2.

Cell lengths 6.468, 6.468, 6.468 Å; angles 43.07, 43.07, 43.07 degrees
Sites, in units of the cell vectors:
Sb 0.046 0.046 0.046
Sb 0.232 0.232 0.232
Y 0.490 0.490 0.490
Zn 0.732 0.732 0.732

Space-group type ... R3m (160)
Formation energy (no corrections) ... -1.0 eV per formula unit

VASP calculation (PBE) on an optimized crystal structure of Y2ZnSb.

Cell lengths 7.935, 7.935, 6.624 Å; angles 53.21, 53.21, 90.00 degrees
Sites, in units of the cell vectors:
Y 0.609 0.125 0.250
Y 0.141 0.625 0.250
Y 0.375 0.391 0.750
Y 0.875 0.859 0.750
Sb 0.000 0.000 0.000
Sb 0.750 0.250 0.500
Zn 0.500 0.500 0.000
Zn 0.250 0.750 0.500

Polymorph energy (0 for the lowest one) ... 351.1 meV/atom
Space-group type ... I-42d (122)
Formation energy (no corrections) ... -1.6 eV per formula unit

VASP calculation (PBE) on an optimized crystal structure of Y2ZnSb.

Cell lengths 5.462, 5.462, 5.462 Å; angles 127.54, 127.55, 77.36 degrees
Sites, in units of the cell vectors:
Sb 0.250 0.750 0.500
Y 0.000 0.000 0.000
Y 0.500 0.500 0.000
Zn 0.750 0.250 0.500

Polymorph energy (0 for the lowest one) ... 170.1 meV/atom
Space-group type ... I4/mmm (139)
Formation energy (no corrections) ... -2.3 eV per formula unit

VASP calculation (PBE) on an optimized crystal structure of YZnSb2.

Cell lengths 4.984, 6.378, 12.420 Å; angles 90.00, 90.00, 90.00 degrees
Sites, in units of the cell vectors:
Y 0.250 0.647 0.591
Y 0.750 0.147 0.909
Y 0.750 0.353 0.409
Y 0.250 0.853 0.091
Zn 0.250 0.427 0.810
Zn 0.750 0.927 0.690
Zn 0.750 0.573 0.190
Zn 0.250 0.073 0.310
Sb 0.250 0.145 0.534
Sb 0.750 0.645 0.966
Sb 0.750 0.855 0.466
Sb 0.250 0.355 0.034
Sb 0.250 0.876 0.812
Sb 0.750 0.376 0.688
Sb 0.750 0.124 0.188
Sb 0.250 0.624 0.312

Space-group type ... Pnma (62)
Formation energy (no corrections) ... -1.8 eV per formula unit

VASP calculation (PBE) on an optimized crystal structure of Y2ZnSb4.

Cell lengths 4.341, 4.341, 9.879 Å; angles 90.00, 90.00, 90.00 degrees
Sites, in units of the cell vectors:
Y 0.500 0.000 0.747
Y 0.000 0.500 0.253
Zn 0.500 0.500 0.000
Sb 0.500 0.000 0.160
Sb 0.000 0.500 0.840
Sb 0.500 0.500 0.500
Sb 0.000 0.000 0.500

Space-group type ... P-4m2 (115)
Formation energy (no corrections) ... -4.7 eV per formula unit

VASP calculation (PBE) on an optimized crystal structure of Y4ZnSb.

Cell lengths 6.282, 6.282, 6.282 Å; angles 60.00, 60.00, 60.00 degrees
Sites, in units of the cell vectors:
Y 0.875 0.375 0.375
Y 0.375 0.375 0.875
Y 0.375 0.875 0.375
Y 0.375 0.375 0.375
Zn 0.750 0.750 0.750
Sb 0.000 0.000 0.000

Polymorph energy (0 for the lowest one) ... 743.8 meV/atom
Space-group type ... F-43m (216)
Formation energy (no corrections) ... 1.5 eV per formula unit

VASP calculation (PBE) on an optimized crystal structure of YZnSb2.

Cell lengths 4.821, 4.821, 4.186 Å; angles 90.05, 90.05, 90.11 degrees
Sites, in units of the cell vectors:
Sb 0.000 0.000 0.000
Sb 0.500 0.500 0.000
Y 0.500 0.000 0.500
Zn 0.000 0.500 0.500

Space-group type ... Cmmm (65)
Formation energy (no corrections) ... -1.7 eV per formula unit

VASP calculation (PBE) on an optimized crystal structure of YZnSb3.

Cell lengths 5.233, 5.233, 5.233 Å; angles 90.00, 90.00, 90.00 degrees
Sites, in units of the cell vectors:
Y 0.500 0.500 0.500
Sb 0.000 0.500 0.000
Sb 0.000 0.000 0.500
Sb 0.500 0.000 0.000
Zn 0.000 0.000 0.000

Polymorph energy (0 for the lowest one) ... 0.0 meV/atom
Space-group type ... Pm-3m (221)
Formation energy (no corrections) ... 0.7 eV per formula unit

VASP calculation (PBE) on an optimized crystal structure of YZnSb2.

Cell lengths 5.701, 5.701, 5.692 Å; angles 132.79, 132.79, 69.11 degrees
Sites, in units of the cell vectors:
Sb 0.000 0.000 0.000
Sb 0.500 0.500 0.000
Y 0.750 0.250 0.500
Zn 0.250 0.750 0.500

Space-group type ... Fmmm (69)
Formation energy (no corrections) ... -1.8 eV per formula unit

VASP calculation (PBE) on an optimized crystal structure of YZnSb2.

Cell lengths 4.106, 4.108, 6.184 Å; angles 90.00, 90.00, 90.00 degrees
Sites, in units of the cell vectors:
Sb 0.000 0.000 0.947
Sb 0.500 0.500 0.311
Y 0.000 0.000 0.462
Zn 0.500 0.500 0.780

Space-group type ... P4mm (99)
Formation energy (no corrections) ... -1.6 eV per formula unit

VASP calculation (PBE) on an optimized crystal structure of Y2ZnSb.

Cell lengths 6.223, 6.223, 6.223 Å; angles 139.09, 139.09, 59.24 degrees
Sites, in units of the cell vectors:
Sb 0.750 0.250 0.500
Y 0.000 0.000 0.000
Y 0.250 0.750 0.500
Zn 0.500 0.500 0.000

Polymorph energy (0 for the lowest one) ... 164.6 meV/atom
Space-group type ... I-4m2 (119)
Formation energy (no corrections) ... -2.3 eV per formula unit

VASP calculation (PBE) on an optimized crystal structure of Y5Zn2Sb.

Cell lengths 8.130, 8.130, 8.601 Å; angles 118.20, 118.20, 90.00 degrees
Sites, in units of the cell vectors:
Y 0.511 0.701 0.712
Y 0.799 0.989 0.288
Y 0.000 0.000 0.000
Y 0.500 0.500 0.000
Y 0.201 0.011 0.712
Y 0.701 0.201 0.712
Y 0.011 0.511 0.712
Y 0.299 0.799 0.288
Y 0.989 0.489 0.288
Y 0.489 0.299 0.288
Zn 0.138 0.362 0.000
Zn 0.638 0.138 0.000
Zn 0.362 0.862 0.000
Zn 0.862 0.638 0.000
Sb 0.750 0.750 0.500
Sb 0.250 0.250 0.500

Space-group type ... I4/mcm (140)
Formation energy (no corrections) ... -4.1 eV per formula unit

VASP calculation (PBE) on an optimized crystal structure of YZnSb2.

Cell lengths 6.128, 6.128, 6.128 Å; angles 138.91, 138.97, 59.46 degrees
Sites, in units of the cell vectors:
Sb 0.000 0.000 0.000
Sb 0.750 0.250 0.500
Y 0.500 0.500 0.000
Zn 0.250 0.750 0.500

Space-group type ... I-4m2 (119)
Formation energy (no corrections) ... -1.7 eV per formula unit

VASP calculation (PBE) on an optimized crystal structure of Y4ZnSb.

Cell lengths 9.826, 9.826, 9.826 Å; angles 60.00, 60.00, 60.00 degrees
Sites, in units of the cell vectors:
Y 0.371 0.371 0.371
Y 0.886 0.371 0.371
Y 0.371 0.886 0.371
Y 0.371 0.371 0.886
Y 0.560 0.560 0.940
Y 0.940 0.940 0.560
Y 0.560 0.940 0.560
Y 0.940 0.560 0.940
Y 0.940 0.560 0.560
Y 0.560 0.940 0.940
Y 0.187 0.187 0.813
Y 0.813 0.813 0.187
Y 0.187 0.813 0.187
Y 0.813 0.187 0.813
Y 0.813 0.187 0.187
Y 0.187 0.813 0.813
Zn 0.156 0.156 0.156
Zn 0.531 0.156 0.156
Zn 0.156 0.531 0.156
Zn 0.156 0.156 0.531
Sb 0.597 0.597 0.597
Sb 0.208 0.597 0.597
Sb 0.597 0.208 0.597
Sb 0.597 0.597 0.208

Polymorph energy (0 for the lowest one) ... 0.0 meV/atom
Space-group type ... F-43m (216)
Formation energy (no corrections) ... -2.9 eV per formula unit

VASP calculation (PBE) on an optimized crystal structure of YZn2Sb.

Cell lengths 3.684, 3.684, 6.652 Å; angles 90.00, 90.00, 98.27 degrees
Sites, in units of the cell vectors:
Sb 0.000 0.000 0.474
Y 0.500 0.500 0.758
Zn 0.000 0.000 0.044
Zn 0.500 0.500 0.223

Space-group type ... Cmm2 (35)
Formation energy (no corrections) ... -1.1 eV per formula unit